*a*
Crystalline KLiRu2 at its relaxed geometry, computed with PBE.

POSCAR file:
```
KLiRu2
1.0
3.1483 0.0000 0.0000
0.0000 3.1483 0.0000
0.0000 0.0000 8.4789
K Li Ru
1 1 2
Direct
0.0000 0.0000 0.0000 K
0.5000 0.5000 0.3637 Li
0.0000 0.0000 0.5560 Ru
0.5000 0.5000 0.6908 Ru
```

Summary:
Symmetry: P4mm, No. 99
Crystal system: tetragonal

***

*b*
Crystalline KLiRu2 at its relaxed geometry, computed with PBE.

POSCAR file:
```
KLiRu2
1.0
1.3627 0.7868 10.3155
-1.3627 0.7868 10.3155
0.0000 -1.5736 10.3155
K Li Ru
1 1 2
Direct
0.0000 0.0000 0.0000 K
0.5000 0.5000 0.5000 Li
0.2400 0.2400 0.2400 Ru
0.7600 0.7600 0.7600 Ru
```

Summary:
Symmetry: R-3m, No. 166
Crystal system: trigonal

***

*c*
Crystalline KLiRu2 at its relaxed geometry, computed with PBE.

POSCAR file:
```
KLiRu2
1.0
2.8467 0.0000 0.0000
0.0000 4.5166 0.0000
0.0000 0.0000 5.3687
K Li Ru
1 1 2
Direct
0.0000 0.0000 0.0000 K
0.5000 0.5000 0.0000 Li
0.0000 0.5000 0.5000 Ru
0.5000 0.0000 0.5000 Ru
```

Summary:
Symmetry: Pmmm, No. 47
Crystal system: orthorhombic

***

Most stable: *a*. Least stable: *c*.

***

*a*
Crystalline KLi3S at its relaxed geometry, computed with PBE.

POSCAR file:
```
KLi3S
1.0
5.3758 0.0000 0.0000
0.0000 5.3758 0.0000
0.0000 0.0000 5.3758
K Li S
1 3 1
Direct
0.0000 0.0000 0.0000 K
0.0000 0.0000 0.5000 Li
0.0000 0.5000 0.0000 Li
0.5000 0.0000 0.0000 Li
0.5000 0.5000 0.5000 S
```

Summary:
Symmetry: Pm-3m, No. 221
Crystal system: cubic

***

*b*
Crystalline KLi3S at its relaxed geometry, computed with PBE.

POSCAR file:
```
KLi3S
1.0
4.9776 0.0000 0.0000
0.0000 4.9776 0.0000
0.0000 0.0000 4.9776
K Li S
1 3 1
Direct
0.0000 0.0000 0.0000 K
0.0000 0.5000 0.5000 Li
0.5000 0.0000 0.5000 Li
0.5000 0.5000 0.0000 Li
0.5000 0.5000 0.5000 S
```

Summary:
Symmetry: Pm-3m, No. 221
Crystal system: cubic

***

Most stable: *b*. Least stable: *a*.

***

*a*
Crystalline KLiS2 at its relaxed geometry, computed with PBE.

POSCAR file:
```
KLiS2
1.0
1.9499 1.1258 9.0705
-1.9499 1.1258 9.0705
0.0000 -2.2516 9.0705
K Li S
1 1 2
Direct
0.0000 0.0000 0.0000 K
0.5000 0.5000 0.5000 Li
0.4162 0.4162 0.4162 S
0.5838 0.5838 0.5838 S
```

Summary:
Symmetry: R-3m, No. 166
Crystal system: trigonal

***

*b*
Crystalline KLiS2 at its relaxed geometry, computed with PBE.

POSCAR file:
```
KLiS2
1.0
-2.4681 2.4681 7.9225
2.4681 -2.4681 7.9225
2.4681 2.4681 -7.9225
K Li S
2 2 4
Direct
0.0000 0.0000 0.0000 K
0.7500 0.2500 0.5000 K
0.2500 0.7500 0.5000 Li
0.5000 0.5000 0.0000 Li
0.3206 0.1250 0.6956 S
0.3750 0.6794 0.8044 S
0.4294 0.6250 0.3044 S
0.8750 0.5706 0.1956 S
```

Summary:
Symmetry: I-42d, No. 122
Crystal system: tetragonal

***

*c*
Crystalline KLiS2 at its relaxed geometry, computed with PBE.

POSCAR file:
```
KLiS2
1.0
0.0000 3.5318 3.5318
3.5318 0.0000 3.5318
3.5318 3.5318 0.0000
K Li S
1 1 2
Direct
0.0000 0.0000 0.0000 K
0.5000 0.5000 0.5000 Li
0.2500 0.2500 0.2500 S
0.7500 0.7500 0.7500 S
```

Summary:
Symmetry: Fm-3m, No. 225
Crystal system: cubic

***

Most stable: *b*. Least stable: *a*.

***

*a*
Crystalline KLi3Sb2 at its relaxed geometry, computed with PBE.

POSCAR file:
```
KLi3Sb2
1.0
6.4135 0.0000 0.0000
-3.2068 5.5543 0.0000
0.0000 0.0000 4.4581
K Li Sb
1 3 2
Direct
0.0000 0.0000 0.0000 K
0.0000 0.5000 0.5000 Li
0.5000 0.0000 0.5000 Li
0.5000 0.5000 0.5000 Li
0.3333 0.6667 0.0000 Sb
0.6667 0.3333 0.0000 Sb
```

Summary:
Symmetry: P6/mmm, No. 191
Crystal system: hexagonal

***

*b*
Crystalline KLi3Sb2 at its relaxed geometry, computed with PBE.

POSCAR file:
```
KLi3Sb2
1.0
4.7652 0.0000 0.0000
-2.3826 4.1268 0.0000
0.0000 0.0000 15.7492
K Li Sb
2 6 4
Direct
0.0000 0.0000 0.2500 K
0.0000 0.0000 0.7500 K
0.0000 0.0000 0.0000 Li
0.0000 0.0000 0.5000 Li
0.3333 0.6667 0.0788 Li
0.3333 0.6667 0.4212 Li
0.6667 0.3333 0.5788 Li
0.6667 0.3333 0.9212 Li
0.3333 0.6667 0.6007 Sb
0.3333 0.6667 0.8993 Sb
0.6667 0.3333 0.1007 Sb
0.6667 0.3333 0.3993 Sb
```

Summary:
Symmetry: P6_3/mmc, No. 194
Crystal system: hexagonal

***

Most stable: *b*. Least stable: *a*.